No. 1
DFT (GGA-PBE) results for an optimized crystal structure of NbPd12Pt6.

energy relative to the elements = -0.055 eV/atom
uncorrected energy = -5.77 eV per atom

The structure in CIF format:
```
data_NbPd12Pt6
_space_group_name_H-M_alt 'R -3'
_space_group_IT_number 148
_space_group_name_Hall '-R 3'
_cell_length_a 9.5794
_cell_length_b 9.5794
_cell_length_c 11.6429
_cell_angle_alpha 90.00
_cell_angle_beta 90.00
_cell_angle_gamma 120.00
loop_
_atom_site_label
_atom_site_type_symbol
_atom_site_fract_x
_atom_site_fract_y
_atom_site_fract_z
Nb1 Nb 0.0000 0.0000 0.0000
Pd1 Pd 0.0317 0.8477 0.8095
Pd2 Pd 0.0652 0.2215 0.4152
Pt1 Pt 0.0251 0.5828 0.7019
```



No. 2
DFT (GGA-PBE) results for an optimized crystal structure of ZrPBr4.

energy relative to the elements, uncorrected = 872 meV/atom
uncorrected energy = -2.57 eV per atom

The structure in CIF format:
```
data_ZrPBr4
_space_group_name_H-M_alt 'F -4 3 m'
_space_group_IT_number 216
_space_group_name_Hall 'F -4 2 3'
_cell_length_a 8.386
_cell_length_b 8.386
_cell_length_c 8.386
_cell_angle_alpha 90.00
_cell_angle_beta 90.00
_cell_angle_gamma 90.00
loop_
_atom_site_label
_atom_site_type_symbol
_atom_site_fract_x
_atom_site_fract_y
_atom_site_fract_z
Zr1 Zr 0.000 0.000 0.000
P1 P 0.250 0.250 0.250
Br1 Br 0.125 0.125 0.625
```



No. 3
DFT (GGA-PBE) results for an optimized crystal structure of HfMgH2.

polymorph energy (0 for the lowest one) = 0 meV per atom
uncorrected energy = -4.76 eV per atom

The structure in CIF format:
```
data_HfMgH2
_space_group_name_H-M_alt 'R 3 m'
_space_group_IT_number 160
_space_group_name_Hall 'R 3 -2"'
_cell_length_a 3.2516
_cell_length_b 3.2516
_cell_length_c 17.3229
_cell_angle_alpha 90.00
_cell_angle_beta 90.00
_cell_angle_gamma 120.00
loop_
_atom_site_label
_atom_site_type_symbol
_atom_site_fract_x
_atom_site_fract_y
_atom_site_fract_z
Hf1 Hf 0.0000 0.0000 0.0000
Mg1 Mg 0.0000 0.0000 0.1834
H1 H 0.0000 0.0000 0.3761
H2 H 0.0000 0.0000 0.6327
```



No. 4
DFT (GGA-PBE) results for an optimized crystal structure of TiZnGa2.

energy relative to the elements = 0.029 eV/atom
uncorrected energy = -3.78 eV per atom

The structure in CIF format:
```
data_TiZnGa2
_space_group_name_H-M_alt 'F m -3 m'
_space_group_IT_number 225
_space_group_name_Hall '-F 4 2 3'
_cell_length_a 6.391
_cell_length_b 6.391
_cell_length_c 6.391
_cell_angle_alpha 90.00
_cell_angle_beta 90.00
_cell_angle_gamma 90.00
loop_
_atom_site_label
_atom_site_type_symbol
_atom_site_fract_x
_atom_site_fract_y
_atom_site_fract_z
Ti1 Ti 0.000 0.000 0.000
Zn1 Zn 0.000 0.000 0.500
Ga1 Ga 0.250 0.250 0.250
```



No. 5
DFT (GGA-PBE) results for an optimized crystal structure of LaCrCoS2.

energy relative to the elements, uncorrected = 236 meV/atom
uncorrected energy = -5.75 eV per atom

The structure in CIF format:
```
data_LaCrCoS2
_space_group_name_H-M_alt 'P 4/m m m'
_space_group_IT_number 123
_space_group_name_Hall '-P 4 2'
_cell_length_a 4.429
_cell_length_b 4.429
_cell_length_c 5.249
_cell_angle_alpha 90.00
_cell_angle_beta 90.00
_cell_angle_gamma 90.00
loop_
_atom_site_label
_atom_site_type_symbol
_atom_site_fract_x
_atom_site_fract_y
_atom_site_fract_z
La1 La 0.000 0.000 0.000
Cr1 Cr 0.000 0.000 0.500
Co1 Co 0.500 0.500 0.000
S1 S 0.000 0.500 0.500
```



No. 6
DFT (GGA-PBE) results for an optimized crystal structure of GdNi4Ag.

energy relative to the elements = -0.256 eV/atom
uncorrected energy = -6.93 eV per atom

The structure in CIF format:
```
data_GdNi4Ag
_space_group_name_H-M_alt 'F -4 3 m'
_space_group_IT_number 216
_space_group_name_Hall 'F -4 2 3'
_cell_length_a 7.023
_cell_length_b 7.023
_cell_length_c 7.023
_cell_angle_alpha 90.00
_cell_angle_beta 90.00
_cell_angle_gamma 90.00
loop_
_atom_site_label
_atom_site_type_symbol
_atom_site_fract_x
_atom_site_fract_y
_atom_site_fract_z
Gd1 Gd 0.000 0.000 0.000
Ni1 Ni 0.124 0.124 0.376
Ag1 Ag 0.250 0.250 0.750
```



No. 7
DFT (GGA-PBE) results for an optimized crystal structure of NiB2Mo2.

energy relative to the elements = -0.092 eV/atom
polymorph energy (0 for the lowest one) = 394 meV per atom
uncorrected energy = -8.25 eV per atom

The structure in CIF format:
```
data_NiB2Mo2
_space_group_name_H-M_alt 'C m c m'
_space_group_IT_number 63
_space_group_name_Hall '-C 2c 2'
_cell_length_a 4.458
_cell_length_b 11.506
_cell_length_c 4.315
_cell_angle_alpha 90.00
_cell_angle_beta 90.00
_cell_angle_gamma 90.00
loop_
_atom_site_label
_atom_site_type_symbol
_atom_site_fract_x
_atom_site_fract_y
_atom_site_fract_z
Ni1 Ni 0.000 0.000 0.000
B1 B 0.212 0.391 0.250
Mo1 Mo 0.000 0.217 0.250
Mo2 Mo 0.000 0.415 0.750
```



No. 8
DFT (GGA-PBE) results for an optimized crystal structure of HfTiPt3.

energy relative to the elements = -0.645 eV/atom
polymorph energy (0 for the lowest one) = 0 meV per atom
uncorrected energy = -7.84 eV per atom

The structure in CIF format:
```
data_HfTiPt3
_space_group_name_H-M_alt 'C m c m'
_space_group_IT_number 63
_space_group_name_Hall '-C 2c 2'
_cell_length_a 5.303
_cell_length_b 13.866
_cell_length_c 5.088
_cell_angle_alpha 90.00
_cell_angle_beta 90.00
_cell_angle_gamma 90.00
loop_
_atom_site_label
_atom_site_type_symbol
_atom_site_fract_x
_atom_site_fract_y
_atom_site_fract_z
Hf1 Hf 0.000 0.185 0.250
Ti1 Ti 0.000 0.480 0.750
Pt1 Pt 0.000 0.000 0.000
Pt2 Pt 0.249 0.350 0.250
```



No. 9
DFT (GGA-PBE) results for an optimized crystal structure of La4H3Pb2.

uncorrected energy = -4.59 eV per atom

The structure in CIF format:
```
data_La4H3Pb2
_space_group_name_H-M_alt 'C m c e'
_space_group_IT_number 64
_space_group_name_Hall '-C 2ac 2'
_cell_length_a 6.887
_cell_length_b 14.150
_cell_length_c 9.092
_cell_angle_alpha 90.00
_cell_angle_beta 90.00
_cell_angle_gamma 90.00
loop_
_atom_site_label
_atom_site_type_symbol
_atom_site_fract_x
_atom_site_fract_y
_atom_site_fract_z
La1 La 0.000 0.192 0.117
La2 La 0.250 0.059 0.750
H1 H 0.000 0.000 0.000
H2 H 0.250 0.226 0.750
Pb1 Pb 0.000 0.108 0.443
```



No. 10
DFT (GGA-PBE) results for an optimized crystal structure of LaPm4Th2.

energy relative to the elements = 0.749 eV/atom
polymorph energy (0 for the lowest one) = 694 meV per atom
uncorrected energy = -4.79 eV per atom

The structure in CIF format:
```
data_LaPm4Th2
_space_group_name_H-M_alt 'I 4/m m m'
_space_group_IT_number 139
_space_group_name_Hall '-I 4 2'
_cell_length_a 5.733
_cell_length_b 5.733
_cell_length_c 16.563
_cell_angle_alpha 90.00
_cell_angle_beta 90.00
_cell_angle_gamma 90.00
loop_
_atom_site_label
_atom_site_type_symbol
_atom_site_fract_x
_atom_site_fract_y
_atom_site_fract_z
La1 La 0.000 0.000 0.000
Pm1 Pm 0.000 0.000 0.185
Pm2 Pm 0.000 0.500 0.000
Th1 Th 0.000 0.000 0.390
```



No. 11
DFT (GGA-PBE) results for an optimized crystal structure of Sb2PdSI.

energy relative to the elements, uncorrected = 782 meV/atom
polymorph energy (0 for the lowest one) = 233 meV per atom
uncorrected energy = -3.04 eV per atom

The structure in CIF format:
```
data_Sb2PdSI
_space_group_name_H-M_alt 'P 4/m m m'
_space_group_IT_number 123
_space_group_name_Hall '-P 4 2'
_cell_length_a 5.170
_cell_length_b 5.170
_cell_length_c 5.466
_cell_angle_alpha 90.00
_cell_angle_beta 90.00
_cell_angle_gamma 90.00
loop_
_atom_site_label
_atom_site_type_symbol
_atom_site_fract_x
_atom_site_fract_y
_atom_site_fract_z
Sb1 Sb 0.000 0.500 0.000
Pd1 Pd 0.000 0.000 0.500
S1 S 0.500 0.500 0.000
I1 I 0.500 0.500 0.500
```



No. 12
DFT (GGA-PBE) results for an optimized crystal structure of Tb2Ho5TmSc.

energy relative to the elements = 0.162 eV/atom
uncorrected energy = -4.61 eV per atom

The structure in CIF format:
```
data_Tb2Ho5TmSc
_space_group_name_H-M_alt 'C m c 21'
_space_group_IT_number 36
_cell_length_a 5.487
_cell_length_b 19.867
_cell_length_c 10.282
_cell_angle_alpha 90.00
_cell_angle_beta 90.00
_cell_angle_gamma 90.00
loop_
_space_group_symop_operation_xyz
'x,y,z'
'-x,-y,z+1/2'
'-x,y,z'
'x,-y,z+1/2'
'x+1/2,y+1/2,z'
'-x+1/2,-y+1/2,z+1/2'
'-x+1/2,y+1/2,z'
'x+1/2,-y+1/2,z+1/2'
loop_
_atom_site_label
_atom_site_type_symbol
_atom_site_fract_x
_atom_site_fract_y
_atom_site_fract_z
Tb1 Tb 0.000 0.112 0.000
Tb2 Tb 0.000 0.114 0.424
Ho1 Ho 0.000 0.017 0.704
Ho2 Ho 0.000 0.275 0.008
Ho3 Ho 0.000 0.300 0.392
Ho4 Ho 0.000 0.376 0.708
Ho5 Ho 0.000 0.483 0.428
Tm1 Tm 0.000 0.408 0.145
Sc1 Sc 0.000 0.195 0.702
```



> Which value of uncorrected energy does entry 6 give?

-6.93 eV per atom



> The lowest uncorrected energy belongs to which entry?

NiB2Mo2



> Among the records above, which one has the highest uncorrected energy?

ZrPBr4